AcPuIrRh (GGA-PBE, relaxed); magnetic moment = 4.80 μB/f.u.; energy of formation from the pure elements = -377.3 meV/atom
1.0
0.000 3.576 3.576
3.576 0.000 3.576
3.576 3.576 0.000
Ac Pu Ir Rh
1 1 1 1
Direct
0.000 0.000 0.000
0.500 0.500 0.500
0.750 0.750 0.750
0.250 0.250 0.250